# Na2MoAuF6 | Alexandria | GGA+U | relaxed
# - total magnetization (μB/cell) = 3.01
# - crystal system = cubic
# - calculated total energy (eV per atom) = -4.42
data_Na2MoAuF6
_chemical_formula_sum 'Na2 Mo1 Au1 F6'
_cell_length_a 6.370
_cell_length_b 6.370
_cell_length_c 6.370
_cell_angle_alpha 60.00
_cell_angle_beta 60.00
_cell_angle_gamma 60.00
_symmetry_space_group_name_H-M 'P 1'
_symmetry_Int_Tables_number 1
loop_
_symmetry_equiv_pos_as_xyz
'x,y,z'
loop_
_atom_site_label
_atom_site_type_symbol
_atom_site_fract_x
_atom_site_fract_y
_atom_site_fract_z
F1 F 0.231 0.769 0.231
F2 F 0.769 0.231 0.231
F3 F 0.769 0.231 0.769
Na1 Na 0.750 0.750 0.750
F4 F 0.231 0.231 0.769
Au1 Au 0.500 0.500 0.500
Mo1 Mo 0.000 0.000 0.000
Na2 Na 0.250 0.250 0.250
F5 F 0.769 0.769 0.231
F6 F 0.231 0.769 0.769